# 1
A geometry-optimized LiSbPd2 structure, computed with PBE-GGA. Values from VASP.

Calculated values
- V: 17.94 Å³ per atom
- Energy: -4.602 eV/atom

```
&SYSTEM
  ibrav = 0, nat = 8, ntyp = 3
/
ATOMIC_SPECIES
Li 6.94 Li.upf
Sb 121.76 Sb.upf
Pd 106.42 Pd.upf
ATOMIC_POSITIONS crystal
Li 0.3333 0.6667 0.2500
Li 0.6667 0.3333 0.7500
Sb 0.0000 0.0000 0.0000
Sb 0.0000 0.0000 0.5000
Pd 0.3333 0.6667 0.5787
Pd 0.3333 0.6667 0.9213
Pd 0.6667 0.3333 0.0787
Pd 0.6667 0.3333 0.4213
CELL_PARAMETERS angstrom
4.5094 0.0000 0.0000
-2.2547 3.9052 0.0000
0.0000 0.0000 8.1501
```



# 2
A geometry-optimized Ni2H structure, computed with PBE-GGA. Values from VASP.

Calculated values
- V: 7.79 Å³ per atom
- Total magnetization: 0.1 μB per cell
- Energy: -4.848 eV/atom

```
&SYSTEM
  ibrav = 0, nat = 3, ntyp = 2
/
ATOMIC_SPECIES
Ni 58.69 Ni.upf
H 1.01 H.upf
ATOMIC_POSITIONS crystal
Ni 0.3333 0.6667 0.2589
Ni 0.6667 0.3333 0.7411
H 0.0000 0.0000 0.0000
CELL_PARAMETERS angstrom
2.5378 0.0000 0.0000
-1.2689 2.1978 0.0000
0.0000 0.0000 4.1890
```



# 3
A geometry-optimized NdGd2NiGe3Ir2 structure, computed with PBE-GGA. Values from VASP.

Calculated values
- V: 19.29 Å³ per atom
- Total magnetization: 0.0 μB per cell
- Energy: -6.442 eV/atom

```
&SYSTEM
  ibrav = 0, nat = 9, ntyp = 5
/
ATOMIC_SPECIES
Nd 144.24 Nd.upf
Gd 157.25 Gd.upf
Ni 58.69 Ni.upf
Ge 72.64 Ge.upf
Ir 192.22 Ir.upf
ATOMIC_POSITIONS crystal
Nd 0.0000 0.0000 0.0000
Gd 0.0000 0.4072 0.8128
Gd 0.0000 0.8128 0.4072
Ni 0.0000 0.4120 0.4120
Ge 0.5000 0.1618 0.4102
Ge 0.5000 0.4102 0.1618
Ge 0.5000 0.6517 0.6517
Ir 0.5000 0.0769 0.7364
Ir 0.5000 0.7364 0.0769
CELL_PARAMETERS angstrom
3.9365 0.0000 0.0000
0.0000 6.2038 3.5538
0.0000 -6.2038 3.5538
```



# 4
A geometry-optimized Gd2ErHg structure, computed with PBE-GGA. Values from VASP.

Calculated values
- V: 28.35 Å³ per atom
- Formation enthalpy at 0 K: -0.79 eV per formula unit
- Total magnetization: 0.0 μB per cell

```
&SYSTEM
  ibrav = 0, nat = 8, ntyp = 3
/
ATOMIC_SPECIES
Gd 157.25 Gd.upf
Er 167.26 Er.upf
Hg 200.59 Hg.upf
ATOMIC_POSITIONS crystal
Gd 0.2500 0.1110 0.8890
Gd 0.2500 0.1811 0.4088
Gd 0.7500 0.4088 0.1811
Gd 0.7500 0.8890 0.1110
Er 0.2500 0.5974 0.8231
Er 0.7500 0.8231 0.5974
Hg 0.2500 0.6805 0.3289
Hg 0.7500 0.3289 0.6805
CELL_PARAMETERS angstrom
5.1096 0.0000 0.0000
0.0000 5.3327 4.1622
0.0000 -5.3327 4.1622
```



# 5
A geometry-optimized In2Hg structure, computed with PBE-GGA. Values from VASP.

Calculated values
- V: 28.07 Å³ per atom
- Energy: -1.808 eV/atom

```
&SYSTEM
  ibrav = 0, nat = 6, ntyp = 2
/
ATOMIC_SPECIES
In 114.82 In.upf
Hg 200.59 Hg.upf
ATOMIC_POSITIONS crystal
In 0.0000 0.0000 0.0000
In 0.0000 0.0000 0.5000
In 0.0000 0.5000 0.0000
In 0.5000 0.0000 0.0000
Hg 0.3750 0.3750 0.3750
Hg 0.6250 0.6250 0.6250
CELL_PARAMETERS angstrom
0.0000 4.3832 4.3832
4.3832 0.0000 4.3832
4.3832 4.3832 0.0000
```



# 6
A geometry-optimized LiAlAg2 structure, computed with PBE-GGA. Values from VASP.

Calculated values
- V: 17.99 Å³ per atom
- Energy: -2.952 eV/atom

```
&SYSTEM
  ibrav = 0, nat = 8, ntyp = 3
/
ATOMIC_SPECIES
Li 6.94 Li.upf
Al 26.98 Al.upf
Ag 107.87 Ag.upf
ATOMIC_POSITIONS crystal
Li 0.3333 0.6667 0.2500
Li 0.6667 0.3333 0.7500
Al 0.0000 0.0000 0.0000
Al 0.0000 0.0000 0.5000
Ag 0.3333 0.6667 0.5801
Ag 0.3333 0.6667 0.9199
Ag 0.6667 0.3333 0.0801
Ag 0.6667 0.3333 0.4199
CELL_PARAMETERS angstrom
4.4909 0.0000 0.0000
-2.2454 3.8892 0.0000
0.0000 0.0000 8.2383
```



# 7
A geometry-optimized CsTbSmSe3 structure, computed with PBE-GGA. Values from VASP.

Calculated values
- V: 36.08 Å³ per atom
- Total magnetization: 0.4 μB per cell
- Energy: -5.020 eV/atom

```
&SYSTEM
  ibrav = 0, nat = 12, ntyp = 4
/
ATOMIC_SPECIES
Cs 132.91 Cs.upf
Tb 158.93 Tb.upf
Sm 150.36 Sm.upf
Se 78.96 Se.upf
ATOMIC_POSITIONS crystal
Cs 0.2403 0.7597 0.7500
Cs 0.7597 0.2403 0.2500
Tb 0.0303 0.9697 0.2500
Tb 0.9697 0.0303 0.7500
Sm 0.5000 0.5000 0.0000
Sm 0.5000 0.5000 0.5000
Se 0.1167 0.8833 0.0462
Se 0.1167 0.8833 0.4538
Se 0.4408 0.5592 0.2500
Se 0.5592 0.4408 0.7500
Se 0.8833 0.1167 0.5462
Se 0.8833 0.1167 0.9538
CELL_PARAMETERS angstrom
2.3180 -8.2042 0.0000
2.3180 8.2042 0.0000
0.0000 0.0000 11.3825
```